Entry 1:
A geometry-optimized Tb2Ta2ZnRh5 structure, computed with PBE.

Values from the calculation:
Its space group is P4/mbm, No. 127. The energy of formation is -406 meV/atom.

abc: 3.1460 10.7552 10.7552
angles: 90.00 90.00 90.00
Closest atoms and distances in Å follow each position.
Sites, in units of the cell vectors:
Tb: 0.0000 0.6676 0.1676  1 Ta 2.92, 2 Rh 3.00, 2 Tb 3.15
Tb: 0.0000 0.3324 0.8324  1 Ta 2.92, 2 Rh 3.00, 2 Tb 3.15
Tb: 0.0000 0.1676 0.3324  1 Ta 2.92, 2 Rh 3.00, 2 Tb 3.15
Tb: 0.0000 0.8324 0.6676  1 Ta 2.92, 2 Rh 3.00, 2 Tb 3.15
Ta: 0.0000 0.1404 0.6404  6 Rh 2.57-2.65
Ta: 0.0000 0.8596 0.3596  6 Rh 2.57-2.65
Ta: 0.0000 0.6404 0.8596  6 Rh 2.57-2.65
Ta: 0.0000 0.3596 0.1404  6 Rh 2.57-2.65
Zn: 0.0000 0.0000 0.0000  8 Rh 2.65
Zn: 0.0000 0.5000 0.5000  8 Rh 2.65
Rh: 0.5000 0.1897 0.0581  2 Ta 2.57, 2 Zn 2.65
Rh: 0.5000 0.8103 0.9419  2 Ta 2.57, 2 Zn 2.65
Rh: 0.5000 0.0581 0.8103  2 Ta 2.57, 2 Zn 2.65
Rh: 0.5000 0.6897 0.4419  2 Ta 2.57, 2 Zn 2.65
Rh: 0.5000 0.9419 0.1897  2 Ta 2.57, 2 Zn 2.65
Rh: 0.5000 0.3103 0.5581  2 Ta 2.57, 2 Zn 2.65
Rh: 0.5000 0.5581 0.6897  2 Ta 2.57, 2 Zn 2.65
Rh: 0.5000 0.4419 0.3103  2 Ta 2.57, 2 Zn 2.65
Rh: 0.5000 0.5000 0.0000  4 Ta 2.65
Rh: 0.5000 0.0000 0.5000  4 Ta 2.65

=====

Entry 2:
A geometry-optimized KSiTc3 structure, computed with PBE.

Values from the calculation:
Its space group is Pm-3m, No. 221. The raw formation energy comes out at 1.298 eV/atom. For the distance to the lowest polymorph of the same formula, the calculation gives 0 meV/atom.

abc: 4.6081 4.6081 4.6081
angles: 90.00 90.00 90.00
Closest atoms and distances in Å follow each position.
Sites, in units of the cell vectors:
K: 0.5000 0.5000 0.5000  12 Tc 3.26
Si: 0.0000 0.0000 0.0000  6 Tc 2.30
Tc: 0.0000 0.5000 0.0000  2 Si 2.30
Tc: 0.0000 0.0000 0.5000  2 Si 2.30
Tc: 0.5000 0.0000 0.0000  2 Si 2.30

=====

Entry 3:
A geometry-optimized SrAc2Ho structure, computed with PBE.

Values from the calculation:
Its space group is R-3m, No. 166. The energy of formation is 171 meV/atom. For the distance to the lowest polymorph of the same formula, the calculation gives 103 meV/atom.

abc: 3.8640 3.8640 13.8416
angles: 81.98 81.98 60.00
Closest atoms and distances in Å follow each position.
Sites, in units of the cell vectors:
Sr: 0.0000 0.0000 0.0000  6 Sr 3.86, 2 Ac 3.87
Ac: 0.0944 0.0944 0.7169  3 Ho 3.71, 6 Ac 3.86, 1 Sr 3.87
Ac: 0.9056 0.9056 0.2831  3 Ho 3.71, 6 Ac 3.86, 1 Sr 3.87
Ho: 0.5000 0.5000 0.5000  6 Ac 3.71, 6 Ho 3.86

=====

Entry 4:
A geometry-optimized Hf3ZrCl structure, computed with PBE.

Values from the calculation:
Its space group is Pm-3m, No. 221. The raw formation energy comes out at 1.263 eV/atom. For the distance to the lowest polymorph of the same formula, the calculation gives 1263 meV/atom.

abc: 5.2252 5.2252 5.2252
angles: 90.00 90.00 90.00
Closest atoms and distances in Å follow each position.
Sites, in units of the cell vectors:
Hf: 0.0000 0.5000 0.0000  2 Zr 2.61
Hf: 0.0000 0.0000 0.5000  2 Zr 2.61
Hf: 0.5000 0.0000 0.0000  2 Zr 2.61
Zr: 0.0000 0.0000 0.0000  6 Hf 2.61
Cl: 0.5000 0.5000 0.5000  12 Hf 3.69

=====

Entry 5:
A geometry-optimized Li8Tl2Cd structure, computed with PBE.

Values from the calculation:
Its space group is C2/m, No. 12. The energy of formation is -172 meV/atom. For the distance to the lowest polymorph of the same formula, the calculation gives 23 meV/atom.

abc: 4.6902 6.9013 7.8414
angles: 116.17 107.40 90.00
Closest atoms and distances in Å follow each position.
Sites, in units of the cell vectors:
Li: 0.6484 0.8599 0.2967  1 Cd 2.80, 3 Tl 2.84, 6 Li 2.92-3.08
Li: 0.3510 0.5633 0.7021  1 Cd 2.80, 3 Tl 2.84, 6 Li 2.92-3.08
Li: 0.1555 0.1552 0.3110  8 Li 2.90-3.08, 2 Tl 3.04, 2 Cd 3.12
Li: 0.0002 0.2953 0.0004  7 Li 2.83-3.07, 2 Tl 2.99-3.00, 2 Cd 3.11
Li: 0.8445 0.8448 0.6890  8 Li 2.90-3.08, 2 Tl 3.04, 2 Cd 3.12
Li: 0.6490 0.4367 0.2979  1 Cd 2.80, 3 Tl 2.84, 6 Li 2.92-3.08
Li: 0.3516 0.1401 0.7033  1 Cd 2.80, 3 Tl 2.84, 6 Li 2.92-3.08
Li: 0.9998 0.7047 0.9996  7 Li 2.83-3.07, 2 Tl 2.99-3.00, 2 Cd 3.11
Tl: 0.1988 0.6993 0.3976  10 Li 2.84-3.04
Tl: 0.8012 0.3007 0.6024  10 Li 2.84-3.04
Cd: 0.5000 0.0000 0.0000  12 Li 2.80-3.12

=====

Entry 6:
A geometry-optimized AlNiTe2 structure, computed with PBE.

Values from the calculation:
Its space group is C2/m, No. 12. The raw formation energy comes out at 0.157 eV/atom.

abc: 4.9085 4.9085 5.0958
angles: 66.57 66.57 104.76
Closest atoms and distances in Å follow each position.
Sites, in units of the cell vectors:
Ni: 0.0000 0.5000 0.5000  4 Te 2.75, 2 Al 3.00
Te: 0.0000 0.0000 0.0000  2 Al 2.75, 2 Ni 2.75, 2 Te 3.00
Te: 0.5000 0.5000 0.0000  2 Ni 2.75, 2 Al 2.75, 2 Te 3.00
Al: 0.5000 0.0000 0.5000  4 Te 2.75, 2 Ni 3.00

=====

Entry 7:
A geometry-optimized NdBiCl6 structure, computed with PBE.

Values from the calculation:
Its space group is P-31c, No. 163. The raw formation energy comes out at -1.594 eV/atom.

abc: 6.8019 6.8019 12.6359
angles: 90.00 90.00 120.00
Closest atoms and distances in Å follow each position.
Sites, in units of the cell vectors:
Nd: 0.3333 0.6667 0.2500  6 Cl 2.76
Nd: 0.6667 0.3333 0.7500  6 Cl 2.76
Bi: 0.0000 0.0000 0.5000  6 Cl 2.74
Bi: 0.0000 0.0000 0.0000  6 Cl 2.74
Cl: 0.3287 0.3323 0.3760  1 Bi 2.74, 1 Nd 2.76
Cl: 0.6713 0.6677 0.6240  1 Bi 2.74, 1 Nd 2.76
Cl: 0.0036 0.6713 0.3760  1 Bi 2.74, 1 Nd 2.76
Cl: 0.3287 0.9964 0.1240  1 Bi 2.74, 1 Nd 2.76
Cl: 0.9964 0.3287 0.6240  1 Bi 2.74, 1 Nd 2.76
Cl: 0.6713 0.0036 0.8760  1 Bi 2.74, 1 Nd 2.76
Cl: 0.6677 0.9964 0.3760  1 Bi 2.74, 1 Nd 2.76
Cl: 0.0036 0.3323 0.1240  1 Bi 2.74, 1 Nd 2.76
Cl: 0.3323 0.0036 0.6240  1 Bi 2.74, 1 Nd 2.76
Cl: 0.9964 0.6677 0.8760  1 Bi 2.74, 1 Nd 2.76
Cl: 0.6677 0.6713 0.1240  1 Bi 2.74, 1 Nd 2.76
Cl: 0.3323 0.3287 0.8760  1 Bi 2.74, 1 Nd 2.76

=====

Entry 8:
A geometry-optimized La2ScAlAu6 structure, computed with PBE.

Values from the calculation:
Its space group is P-1, No. 2. The energy of formation is -636 meV/atom.

abc: 5.4732 8.4658 7.0740
angles: 63.01 50.59 73.75
Closest atoms and distances in Å follow each position.
Sites, in units of the cell vectors:
La: 0.2704 0.8086 0.3622  7 Au 3.06-3.26, 1 Al 3.33
La: 0.7296 0.1914 0.6378  7 Au 3.06-3.26, 1 Al 3.33
Sc: 0.5000 0.5000 0.0000  6 Au 2.76-2.91
Al: 0.0000 0.0000 0.0000  2 Au 2.54
Au: 0.5042 0.8567 0.7154  1 Al 2.54, 1 Sc 2.76
Au: 0.9065 0.6865 0.9589  3 Au 2.83-3.00, 1 Sc 2.87, 1 Al 3.01, 2 La 3.06
Au: 0.2063 0.3861 0.5592  3 Au 2.83-2.90, 1 Sc 2.91, 2 La 3.09-3.13, 1 Al 3.17
Au: 0.4958 0.1433 0.2846  1 Al 2.54, 1 Sc 2.76
Au: 0.0935 0.3135 0.0411  3 Au 2.83-3.00, 1 Sc 2.87, 1 Al 3.01, 2 La 3.06
Au: 0.7937 0.6139 0.4408  3 Au 2.83-2.90, 1 Sc 2.91, 2 La 3.09-3.13, 1 Al 3.17

=====

Number 1: electronic total energy -150.11 eV per cell. Number 2: electronic total energy -31.13 eV per cell. Number 3: electronic total energy -13.79 eV per cell. Number 4: electronic total energy -33.94 eV per cell. Number 5: electronic total energy -22.85 eV per cell. Number 6: electronic total energy -15.18 eV per cell. Number 7: electronic total energy -64.96 eV per cell. Number 8: electronic total energy -45.96 eV per cell.